1.
8
Lattice="4.4955 0.0000 0.0000 0.0000 7.8417 -0.1741 0.0000 2.7428 7.3554" Properties=species:S:1:pos:R:3 comment="Pr4SiBiTe2, relaxed, DFT PBE-GGA" final_energy_ev_per_atom=-5.5156 pbc="T T T"
Pr 0.0001 7.7966 5.3023
Pr 4.4955 2.7879 1.8790
Pr 2.2478 6.4567 1.8626
Pr 2.2478 4.1278 5.3188
Si 0.0000 5.2922 3.5907
Bi 2.2478 3.9208 -0.0871
Te 0.0000 2.7428 7.3554
Te 2.2478 1.3714 3.6777



2.
8
Lattice="4.3476 0.0000 0.0000 0.0000 7.5634 -0.1665 0.0000 2.6470 7.1324" Properties=species:S:1:pos:R:3 comment="BaLa2PmSe4, relaxed, DFT PBE-GGA" final_energy_ev_per_atom=-5.7258 pbc="T T T"
Ba 2.1738 6.4287 7.0491
La 0.0000 2.6470 7.1324
La 2.1738 1.3235 3.5662
Pm 0.0000 5.1051 3.4830
Se 0.0001 7.6975 5.1032
Se 4.3476 2.5129 1.8627
Se 2.1738 6.3726 1.7414
Se 2.1738 3.8378 5.2245



3.
20
Lattice="6.7492 0.0000 0.0832 0.0000 7.2010 0.0000 0.1901 0.0000 9.1018" Properties=species:S:1:pos:R:3 comment="Na3BeCl6, relaxed, DFT PBE-GGA" final_energy_ev_per_atom=-3.1750 pbc="T T T"
Na 3.6974 6.6025 6.9670
Na 3.3746 3.6005 0.0416
Na 3.2419 0.5985 2.2179
Na 0.2277 4.1990 2.3746
Na 0.0950 0.0000 4.5509
Na 6.7116 3.0020 6.8104
Be 3.4696 3.6005 4.5925
Be 0.0000 0.0000 0.0000
Cl 5.0443 1.2958 8.6198
Cl 4.6016 1.5985 5.3676
Cl 4.3446 3.2244 2.6755
Cl 2.5947 3.9766 6.5094
Cl 2.3377 5.6025 3.8174
Cl 1.8950 5.9052 0.5651
Cl 1.5746 2.3047 4.0273
Cl 1.1320 2.0020 0.7751
Cl 1.0651 0.3761 7.1848
Cl 5.8742 6.8249 2.0001
Cl 5.8073 5.1990 8.4098
Cl 5.3646 4.8962 5.1576



4.
12
Lattice="-4.6920 0.9485 1.7979 -0.3555 -4.8354 1.6232 6.6153 4.5102 14.8847" Properties=species:S:1:pos:R:3 comment="RbMnTl, relaxed, DFT PBE-GGA" formation_energy_ev_per_atom=0.461 final_energy_ev_per_atom=-3.7072 relative_energy_mev_per_atom=93 pbc="T T T"
Tl 0.0000 0.0000 0.0000
Tl 0.7839 0.3116 9.1529
Tl -2.5238 -1.9435 1.7105
Tl 3.3076 2.2551 7.4424
Mn -1.8314 0.8251 2.0569
Mn 3.7546 4.6336 14.6258
Mn 3.6445 0.1883 9.4119
Mn 2.6153 -0.5135 7.0960
Rb 2.0983 3.5043 10.8990
Rb -0.1751 1.9543 5.7837
Rb 0.9590 -1.6427 3.3692
Rb 5.3008 1.3175 13.1387



5.
16
Lattice="-1.5989 -7.6102 -0.0460 7.4040 -1.5446 -1.8081 1.7603 -0.4155 7.5632" Properties=species:S:1:pos:R:3 comment="MoSe, relaxed, DFT PBE-GGA" final_energy_ev_per_atom=-7.0424 relative_energy_mev_per_atom=395 pbc="T T T"
Mo 2.8403 -3.5931 2.1434
Mo 5.1233 -4.0814 3.5772
Mo 2.8806 -5.5925 4.0161
Mo 4.2865 -5.8738 1.6816
Mo 6.6230 -8.3783 4.9980
Mo -0.2582 -6.9064 0.6766
Mo 6.5018 -2.3519 -0.6465
Mo 2.2641 -1.5041 6.3902
Se 1.3985 -1.7691 1.0553
Se 7.1747 -3.0046 4.6828
Se 1.5002 -6.8277 5.7935
Se 5.0574 -7.5394 -0.1133
Se 5.1811 -6.5543 3.9099
Se 1.7931 -5.8296 1.7822
Se 5.1215 -3.5872 1.1308
Se 3.0350 -3.1697 4.5954



6.
11
Lattice="5.4865 0.0000 -1.6698 -1.4156 8.1900 -4.6515 0.1171 0.2941 10.2334" Properties=species:S:1:pos:R:3 comment="Ba8AlGa2, relaxed, DFT PBE-GGA" formation_energy_ev_per_atom=-0.073 final_energy_ev_per_atom=-2.3620 pbc="T T T"
Ba 2.4144 7.2833 -1.9156
Ba 1.1561 4.7733 3.7987
Ba 0.6028 1.2290 1.9806
Ba -0.4503 2.6052 -1.4795
Ba 3.5852 7.2551 1.9316
Ba 3.0319 3.7107 0.1134
Ba 1.7736 1.2008 5.8278
Ba 4.6383 5.8789 5.3917
Al 2.7433 0.0000 -0.8349
Ga 0.0941 5.7304 0.3093
Ga 4.0939 2.7537 3.6029



7.
9
Lattice="-2.4815 -3.2964 0.3833 4.3191 -3.0333 1.8765 -3.2093 2.8358 3.6104" Properties=species:S:1:pos:R:3 comment="LaPa2B6, relaxed, DFT PBE-GGA" formation_energy_ev_per_atom=-0.482 final_energy_ev_per_atom=-7.5916 pbc="T T T"
La 0.0000 0.0000 0.0000
Pa -0.6998 0.8795 3.0324
Pa 1.8096 -1.0769 2.4545
B -0.8633 -1.7153 2.0579
B -0.5084 -1.7785 3.8123
B -3.3585 0.2231 2.5740
B 1.6093 -3.6497 1.4299
B 0.2283 -2.6799 0.8299
B -2.3324 -0.6836 1.4197



8.
8
Lattice="5.2526 0.0000 0.0000 0.0000 5.2526 0.0000 -2.6263 -2.6263 7.6356" Properties=species:S:1:pos:R:3 comment="TbPr2Hg5, relaxed, DFT PBE-GGA" formation_energy_ev_per_atom=-0.417 final_energy_ev_per_atom=-2.3797 pbc="T T T"
Tb 0.0000 0.0000 0.0000
Pr 2.6263 2.6263 3.5911
Pr 0.0000 0.0000 4.0445
Hg 2.6263 2.6263 0.0000
Hg 2.6263 0.0000 5.8516
Hg 0.0000 2.6263 5.8516
Hg 0.0000 2.6263 1.7841
Hg 2.6263 0.0000 1.7841



9.
14
Lattice="8.6011 -0.0374 1.6677 -0.4718 9.0636 -2.9756 -2.8764 -6.4743 7.3612" Properties=species:S:1:pos:R:3 comment="Pm2PrEr4, relaxed, DFT PBE-GGA" formation_energy_ev_per_atom=0.064 final_energy_ev_per_atom=-4.5837 relative_energy_mev_per_atom=0 pbc="T T T"
Pm 1.4790 -0.5502 5.3919
Pm 4.4524 -2.1087 4.5306
Pm 4.7158 0.2627 1.9522
Pm -1.5740 -2.6165 5.4251
Pr 6.7570 2.8448 2.7595
Pr -0.7948 -5.5812 7.1393
Er -1.1332 -0.0735 2.9077
Er 4.0637 3.5568 0.6254
Er 4.4775 1.4683 5.4224
Er 4.0772 -4.5575 6.9163
Er 1.3321 7.3362 -0.9503
Er 0.9900 4.9745 1.5906
Er 1.7886 1.8784 2.9630
Er 6.9693 5.5167 0.5408



10.
12
Lattice="-1.6952 3.1424 1.7843 -7.6182 -2.2070 -3.3508 2.1519 -5.6272 7.4900" Properties=species:S:1:pos:R:3 comment="Ho6Pt2PbSe3, relaxed, DFT PBE-GGA" final_energy_ev_per_atom=-5.8144 pbc="T T T"
Ho -6.0980 -4.6448 2.3868
Ho -4.6344 -1.0931 1.9867
Ho -1.0635 -0.0469 3.5368
Ho -1.6117 -3.0634 8.3284
Ho -5.5498 -1.6283 -2.4049
Ho -2.5271 -3.5986 3.9368
Pt -5.2125 -2.7239 4.3096
Pt -1.9490 -1.9678 1.6140
Pb -0.8476 1.5712 0.8922
Se -4.6567 0.4677 -0.7832
Se -1.3274 -1.5408 5.9169
Se -5.8340 -3.1510 0.0066



11.
12
Lattice="-4.5967 1.5916 -2.9353 0.1650 -3.4211 -2.1134 -3.0549 -4.4635 6.9869" Properties=species:S:1:pos:R:3 comment="NbRePt, relaxed, DFT PBE-GGA" formation_energy_ev_per_atom=-0.236 final_energy_ev_per_atom=-9.7553 relative_energy_mev_per_atom=133 pbc="T T T"
Nb -3.5033 -4.1333 6.4175
Nb -1.8933 -3.6122 1.8673
Nb -6.1509 -1.3764 1.7479
Nb -4.5409 -0.8552 -2.8023
Re -4.3043 -0.1139 -0.1517
Re -5.7492 -4.0562 2.2851
Re -5.7770 -3.2337 4.7836
Re -4.1670 -2.7125 0.2334
Pt -3.8837 -2.1167 3.1233
Pt -2.2737 -1.5955 -1.4269
Pt -2.0832 -0.8981 1.2912
Pt -3.5281 -4.8404 3.7279



12.
5
Lattice="-0.8479 3.1040 2.1569 -2.1948 1.3953 -2.8708 -4.0880 -2.4582 1.9306" Properties=species:S:1:pos:R:3 comment="TeRuSN2, relaxed, DFT PBE-GGA" final_energy_ev_per_atom=-5.7332 relative_energy_mev_per_atom=143 pbc="T T T"
Ru 0.0000 0.0000 0.0000
S -2.0440 -1.2291 0.9653
Te -3.5653 1.0206 0.6083
N -1.0974 0.6977 -1.4354
N -0.4239 1.5520 1.0784